--- a ---
# Nd5Ho2Tl

A relaxed Nd5Ho2Tl crystal (GGA-PBE, the Alexandria database).

Computed properties:
The calculation puts the calculated volume at 32.6 Å³ per atom. Its size of the total moment is 0.00 Bohr magnetons per cell. Its space group is Immm (71).

abc: 3.500 11.382 8.857
angles: 129.98 101.39 90.00
Element x y z (fractional)
Tl (0.000, 0.000, 0.000)
Nd (0.369, 0.135, 0.738)
Nd (0.631, 0.865, 0.262)
Nd (0.631, 0.397, 0.262)
Ho (0.731, 0.231, 0.461)
Nd (0.000, 0.500, 0.000)
Ho (0.269, 0.769, 0.539)
Nd (0.369, 0.603, 0.738)

=====

--- b ---
# Nd5Ho2Tl

A relaxed Nd5Ho2Tl crystal (GGA-PBE, the Alexandria database).

Computed properties:
The calculation puts the calculated volume at 32.5 Å³ per atom. Its size of the total moment is 0.00 Bohr magnetons per cell. Its space group is Pbam (55).

abc: 5.025 7.182 14.407
angles: 90.00 90.00 90.00
Element x y z (fractional)
Tl (0.000, 0.000, 0.500)
Ho (0.500, 0.752, 0.878)
Ho (0.500, 0.252, 0.622)
Nd (0.000, 0.996, 0.261)
Nd (0.000, 0.004, 0.739)
Nd (0.500, 0.247, 0.873)
Nd (0.500, 0.753, 0.127)
Nd (0.000, 0.504, 0.761)
Nd (0.000, 0.000, 0.000)
Nd (0.500, 0.253, 0.373)
Nd (0.000, 0.500, 0.500)
Nd (0.000, 0.496, 0.239)
Ho (0.500, 0.748, 0.378)
Ho (0.500, 0.248, 0.122)
Nd (0.500, 0.747, 0.627)
Tl (0.000, 0.500, 0.000)

=====

Most stable to least stable, the ends of the list are b and a.

=====

--- a ---
# NdHo3Tl

A relaxed NdHo3Tl crystal (GGA-PBE, the Alexandria database).

Computed properties:
The calculation puts the calculated volume at 30.7 Å³ per atom. Its size of the total moment is 0.00 Bohr magnetons per cell. Its space group is C2/c (15).

abc: 6.535 9.864 9.864
angles: 84.12 79.62 79.62
Element x y z (fractional)
Ho (0.862, 0.267, 0.121)
Nd (0.026, 0.672, 0.538)
Nd (0.526, 0.538, 0.672)
Nd (0.974, 0.328, 0.462)
Ho (0.138, 0.733, 0.879)
Nd (0.474, 0.462, 0.328)
Ho (0.521, 0.793, 0.407)
Ho (0.136, 0.998, 0.627)
Tl (0.250, 0.835, 0.165)
Tl (0.750, 0.916, 0.084)
Ho (0.364, 0.373, 0.002)
Ho (0.979, 0.593, 0.207)
Ho (0.636, 0.627, 0.998)
Ho (0.021, 0.407, 0.793)
Ho (0.638, 0.879, 0.733)
Ho (0.479, 0.207, 0.593)
Ho (0.362, 0.121, 0.267)
Tl (0.250, 0.084, 0.916)
Ho (0.864, 0.002, 0.373)
Tl (0.750, 0.165, 0.835)

=====

--- b ---
# NdHo3Tl

A relaxed NdHo3Tl crystal (GGA-PBE, the Alexandria database).

Computed properties:
The calculation puts the calculated volume at 29.9 Å³ per atom. Its size of the total moment is 0.02 Bohr magnetons per cell. Its space group is Cmcm (63).

abc: 4.868 4.828 12.961
angles: 90.00 79.18 90.00
Element x y z (fractional)
Ho (0.370, 0.250, 0.907)
Tl (0.978, 0.250, 0.692)
Nd (0.177, 0.250, 0.295)
Nd (0.472, 0.750, 0.705)
Ho (0.773, 0.250, 0.102)
Ho (0.575, 0.250, 0.499)
Tl (0.670, 0.750, 0.308)
Ho (0.875, 0.750, 0.898)
Ho (0.278, 0.750, 0.093)
Ho (0.074, 0.750, 0.501)

=====

Most stable to least stable, the ends of the list are b and a.

=====

--- a ---
# Nd2Ho2Tl

A relaxed Nd2Ho2Tl crystal (GGA-PBE, the Alexandria database).

Computed properties:
The calculation puts the calculated volume at 31.5 Å³ per atom. Its size of the total moment is 0.00 Bohr magnetons per cell. Its space group is C2/m (12).

abc: 8.605 6.404 9.089
angles: 69.22 58.12 47.79
Element x y z (fractional)
Nd (0.264, 0.000, 0.574)
Nd (0.393, 0.000, 0.886)
Ho (0.962, 0.367, 0.283)
Tl (0.170, 0.660, 0.000)
Ho (0.038, 0.633, 0.717)
Ho (0.329, 0.633, 0.283)
Ho (0.671, 0.367, 0.717)
Nd (0.736, 0.000, 0.426)
Tl (0.830, 0.340, 0.000)
Nd (0.607, 0.000, 0.114)

=====

--- b ---
# Nd2Ho2Tl

A relaxed Nd2Ho2Tl crystal (GGA-PBE, the Alexandria database).

Computed properties:
The calculation puts the calculated volume at 31.9 Å³ per atom. Its size of the total moment is 0.00 Bohr magnetons per cell. Its space group is P6_3/mmc (194).

abc: 5.488 5.488 12.236
angles: 90.00 90.00 120.00
Element x y z (fractional)
Nd (0.333, 0.667, 0.914)
Ho (0.000, 0.000, 0.000)
Nd (0.333, 0.667, 0.586)
Ho (0.667, 0.333, 0.750)
Nd (0.667, 0.333, 0.414)
Tl (0.000, 0.000, 0.750)
Tl (0.000, 0.000, 0.250)
Nd (0.667, 0.333, 0.086)
Ho (0.333, 0.667, 0.250)
Ho (0.000, 0.000, 0.500)

=====

Most stable to least stable, the ends of the list are a and b.

=====

--- a ---
# Nd3Ho2Tl2

A relaxed Nd3Ho2Tl2 crystal (GGA-PBE, the Alexandria database).

Computed properties:
The calculation puts the calculated volume at 30.7 Å³ per atom. Its size of the total moment is 0.00 Bohr magnetons per cell. Its space group is C2/m (12).

abc: 5.530 5.521 8.745
angles: 108.50 90.00 120.05
Element x y z (fractional)
Ho (0.926, 0.852, 0.279)
Tl (0.787, 0.574, 0.860)
Nd (0.343, 0.686, 0.529)
Nd (0.500, 0.000, 0.000)
Ho (0.074, 0.148, 0.721)
Tl (0.213, 0.426, 0.140)
Nd (0.657, 0.314, 0.471)

=====

--- b ---
# Nd3Ho2Tl2

A relaxed Nd3Ho2Tl2 crystal (GGA-PBE, the Alexandria database).

Computed properties:
The calculation puts the calculated volume at 30.7 Å³ per atom. Its size of the total moment is 0.02 Bohr magnetons per cell. Its space group is Cmmm (65).

abc: 5.028 3.567 12.260
angles: 90.00 78.17 90.00
Element x y z (fractional)
Nd (0.000, 0.000, 0.000)
Tl (0.573, 0.500, 0.854)
Ho (0.713, 0.500, 0.574)
Nd (0.145, 0.000, 0.710)
Ho (0.287, 0.500, 0.426)
Tl (0.427, 0.500, 0.146)
Nd (0.855, 0.000, 0.290)

=====

Most stable to least stable, the ends of the list are a and b.